Record 1
Compound: KTmTe2O8
Source: Alexandria
Functional: PBE-GGA
Structure: relaxed

Cell lengths 5.9295, 5.9295, 7.6776 Å; angles 90.00, 90.00, 120.00 degrees
With the nearest neighbours (Å) after each atom.
Sites, in units of the cell vectors:
K (0.0000, 0.0000, 0.0000)  6 O 3.00
Tm (0.0000, 0.0000, 0.5000)  6 O 2.20
Te (0.3333, 0.6667, 0.7635)  4 O 1.82-1.84
Te (0.6667, 0.3333, 0.2365)  4 O 1.82-1.84
O (0.1333, 0.3322, 0.6800)  1 Te 1.84
O (0.1990, 0.8667, 0.6800)  1 Te 1.84
O (0.3322, 0.1990, 0.3200)  1 Te 1.84
O (0.3333, 0.6667, 0.0003)  1 Te 1.82
O (0.6667, 0.3333, 0.9997)  1 Te 1.82
O (0.6678, 0.8010, 0.6800)  1 Te 1.84
O (0.8010, 0.1333, 0.3200)  1 Te 1.84
O (0.8667, 0.6678, 0.3200)  1 Te 1.84

Values from the calculation:
DOS at the Fermi energy in states/eV per cell: 0.00
Uncorrected formation energy in meV/atom: -1589
Symmetry: P-3, No. 147

Record 2
Compound: DyPuTcPd
Source: Alexandria
Functional: PBE-GGA
Structure: relaxed

Cell lengths 4.8695, 4.8695, 4.8695 Å; angles 60.00, 60.00, 60.00 degrees
With the nearest neighbours (Å) after each atom.
Sites, in units of the cell vectors:
Dy (0.0000, 0.0000, 0.0000)  4 Pd 2.98, 4 Tc 2.98
Pu (0.5000, 0.5000, 0.5000)  4 Tc 2.98, 4 Pd 2.98
Tc (0.7500, 0.7500, 0.7500)  4 Dy 2.98, 4 Pu 2.98
Pd (0.2500, 0.2500, 0.2500)  4 Pu 2.98, 4 Dy 2.98

Values from the calculation:
DOS at the Fermi energy in states/eV per cell: 7.16
Symmetry: F-43m, No. 216
Energy of formation in eV/atom: -0.233

Record 3
Compound: Ta2AgW
Source: Alexandria
Functional: PBE-GGA
Structure: relaxed

Cell lengths 2.7563, 4.7495, 5.4094 Å; angles 90.00, 98.46, 90.00 degrees
With the nearest neighbours (Å) after each atom.
Sites, in units of the cell vectors:
Ta (0.0000, 0.0000, 0.0000)  4 Ta 2.76-2.90, 2 W 2.79, 2 Ag 2.83-2.87
Ta (0.2503, 0.5000, 0.7374)  2 W 2.73-2.97, 4 Ta 2.76-2.90, 2 Ag 2.88
Ag (0.5414, 0.0000, 0.4957)  2 Ag 2.76, 4 Ta 2.83-2.88, 2 W 2.91
W (0.7327, 0.5000, 0.2150)  4 Ta 2.73-2.97, 2 W 2.76, 2 Ag 2.91

Values from the calculation:
DOS at the Fermi energy in states/eV per cell: 3.15
Symmetry: Pm, No. 6
Energy of formation in eV/atom: 0.299
ΔE to the lowest computed polymorph in eV per atom: 0.193

Record 4
Compound: BaInTe2
Source: Alexandria
Functional: PBE-GGA
Structure: relaxed

Cell lengths 8.4490, 8.4490, 8.4490 Å; angles 32.09, 32.09, 32.09 degrees
With the nearest neighbours (Å) after each atom.
Sites, in units of the cell vectors:
Ba (0.0000, 0.0000, 0.0000)  6 Te 3.49-3.53
In (0.8330, 0.8330, 0.8330)  6 Te 3.20-3.24
Te (0.2412, 0.2412, 0.2412)  3 In 3.24, 3 Ba 3.49
Te (0.4280, 0.4280, 0.4280)  3 In 3.20, 3 Ba 3.53

Values from the calculation:
DOS at the Fermi energy in states/eV per cell: 3.33
Uncorrected formation energy in meV/atom: -869
Symmetry: R3m, No. 160

Record 5
Compound: TeOsN2O
Source: Alexandria
Functional: PBE-GGA
Structure: relaxed

Cell lengths 3.6916, 3.6916, 5.7960 Å; angles 90.00, 90.00, 90.00 degrees
With the nearest neighbours (Å) after each atom.
Sites, in units of the cell vectors:
Te (0.0000, 0.0000, 0.0000)  4 O 2.61, 2 Os 2.90
Os (0.0000, 0.0000, 0.5000)  4 N 1.85
N (0.0000, 0.5000, 0.5000)  2 Os 1.85
N (0.5000, 0.0000, 0.5000)  2 Os 1.85
O (0.5000, 0.5000, 0.0000)  4 Te 2.61

Values from the calculation:
DOS at the Fermi energy in states/eV per cell: 2.39
Uncorrected formation energy in meV/atom: 594
Symmetry: P4/mmm, No. 123

Record 6
Compound: BiTePb2
Source: Alexandria
Functional: PBE-GGA
Structure: relaxed

Cell lengths 9.2155, 9.2155, 9.2155 Å; angles 135.52, 135.52, 64.73 degrees
With the nearest neighbours (Å) after each atom.
Sites, in units of the cell vectors:
Bi (0.0000, 0.0000, 0.0000)  4 Pb 3.15
Bi (0.7500, 0.2500, 0.5000)  4 Pb 3.15
Te (0.2500, 0.7500, 0.5000)  4 Pb 3.13
Te (0.5000, 0.5000, 0.0000)  4 Pb 3.13
Pb (0.1271, 0.6250, 0.0021)  2 Te 3.13, 2 Bi 3.15
Pb (0.3750, 0.3771, 0.5021)  2 Te 3.13, 2 Bi 3.15
Pb (0.6229, 0.1250, 0.9979)  2 Te 3.13, 2 Bi 3.15
Pb (0.8750, 0.8729, 0.4979)  2 Te 3.13, 2 Bi 3.15

Values from the calculation:
DOS at the Fermi energy in states/eV per cell: 8.34
Uncorrected formation energy in meV/atom: 71
Symmetry: I-42d, No. 122
ΔE to the lowest computed polymorph in eV per atom: 0.195